(1)
Tb4HoEr: optimized geometry, PBE.

```
Tb4HoEr
1.0
17.212 0.000 0.000
0.000 3.570 0.000
-0.740 0.000 6.141
Tb Ho Er
8 2 2
Direct
0.166 0.000 0.388
0.166 0.500 0.889
0.334 0.000 0.111
0.334 0.500 0.612
0.666 0.000 0.889
0.666 0.500 0.388
0.834 0.000 0.612
0.834 0.500 0.111
0.000 0.000 0.000
0.500 0.500 0.000
0.000 0.500 0.500
0.500 0.000 0.500
```

Summary:
**Relative energy among the computed polymorphs**: 0.00 eV per formula unit
**Energy of formation**: 0.006 eV per atom



(2)
Na2Er2IrO6: optimized geometry, PBE.

```
Na2Er2IrO6
1.0
2.837 -4.918 0.000
2.837 4.918 0.000
-1.570 0.000 5.678
Na Er Ir O
2 2 1 6
Direct
0.148 0.852 0.000
0.852 0.148 0.000
0.338 0.662 0.500
0.662 0.338 0.500
0.000 0.000 0.500
0.044 0.361 0.693
0.251 0.251 0.296
0.361 0.044 0.693
0.639 0.956 0.307
0.749 0.749 0.704
0.956 0.639 0.307
```



(3)
RbAg2Pb9: optimized geometry, PBE.

```
RbAg2Pb9
1.0
-6.570 6.570 4.475
6.570 -6.570 4.475
6.570 6.570 -4.475
Rb Ag Pb
2 4 18
Direct
0.375 0.625 0.750
0.625 0.375 0.250
0.000 0.000 0.000
0.000 0.000 0.500
0.000 0.500 0.000
0.500 0.000 0.500
0.125 0.875 0.250
0.132 0.559 0.319
0.132 0.813 0.573
0.187 0.260 0.319
0.187 0.868 0.927
0.260 0.187 0.819
0.260 0.441 0.073
0.441 0.260 0.573
0.441 0.868 0.181
0.559 0.132 0.819
0.559 0.740 0.427
0.740 0.559 0.927
0.740 0.813 0.181
0.813 0.132 0.073
0.813 0.740 0.681
0.868 0.187 0.427
0.868 0.441 0.681
0.875 0.125 0.750
```

Summary:
**Energy of formation**: -0.014 eV per atom



(4)
Y3Tm3Sc2: optimized geometry, PBE.

```
Y3Tm3Sc2
1.0
4.440 2.564 3.629
-4.440 2.564 3.629
0.000 -5.127 3.629
Y Tm Sc
3 3 2
Direct
0.000 0.252 0.748
0.252 0.748 0.000
0.748 0.000 0.252
0.253 0.747 0.500
0.500 0.253 0.747
0.747 0.500 0.253
0.251 0.251 0.251
0.749 0.749 0.749
```

Summary:
**Relative energy among the computed polymorphs**: 1.19 eV per formula unit
**Energy of formation**: 0.241 eV per atom



Calculated total energy
In order: -27.62 -74.52 -40.21 -43.54
Unit: eV/f.u.